This record from the Alexandria database describes a relaxed Ba2CrBI crystal. The functional is PBE-GGA.

The space group is P4/mmm (No. 123) and the conventional cell measures 5.937, 5.937 and 4.848 Å, with angles of 90.00, 90.00 and 90.00 degrees. The distinct sites, in fractional coordinates, are Ba at (0.000, 0.500, 0.000), Cr at (0.000, 0.000, 0.000), B at (0.500, 0.500, 0.500) and I at (0.000, 0.000, 0.500).

For the uncorrected formation energy, the calculation gives 1.1109 eV per atom. As for the electronic total energy: -16.14 eV for the cell shown.